Entry 1:
A plane-wave DFT calculation with PBE-GGA was carried out for a geometry-optimized B2W5C structure.

Cell lengths 6.7782, 9.2664, 3.0899 Å; angles 90.00, 90.00, 90.00 degrees
With the nearest neighbours (Å) after each atom.
Fractional coordinates of all 16 atoms:
B 0.0818 0.3200 0.5000  7 W 2.34-2.46
B 0.4182 0.8200 0.5000  7 W 2.34-2.46
W 0.3513 0.2993 0.0000  1 C 2.12
W 0.3129 0.5720 0.5000  2 C 2.11
W 0.5000 0.0000 0.0000  4 B 2.34
B 0.5818 0.1800 0.5000  7 W 2.34-2.46
W 0.6871 0.4280 0.5000  2 C 2.11
W 0.8513 0.2007 0.0000  1 C 2.12
W 0.1871 0.0720 0.5000  2 C 2.11
W 0.1487 0.7993 0.0000  1 C 2.12
C 0.5000 0.5000 0.0000  6 W 2.11-2.12
B 0.9182 0.6800 0.5000  7 W 2.34-2.46
C 0.0000 0.0000 0.0000  6 W 2.11-2.12
W 0.0000 0.5000 0.0000  4 B 2.34
W 0.6487 0.7007 0.0000  1 C 2.12
W 0.8129 0.9280 0.5000  2 C 2.11

Output
- Total energy: -11.005 eV/atom

Entry 2:
A plane-wave DFT calculation with PBE-GGA was carried out for a geometry-optimized Nd2Sc2CI3Br2 structure.

Cell lengths 10.3014, 10.3014, 8.8795 Å; angles 101.82, 101.82, 21.73 degrees
With the nearest neighbours (Å) after each atom.
Fractional coordinates of all 10 atoms:
I 0.5000 0.5000 0.5000  4 Nd 3.33
I 0.8390 0.8390 0.7012  2 Sc 2.95, 1 Nd 3.19
Sc 0.6132 0.6132 0.0499  1 C 2.24
Br 0.8488 0.8488 0.1378  2 Sc 2.77, 1 Nd 3.00
C 0.5000 0.5000 0.0000  2 Sc 2.24
Nd 0.9996 0.9996 0.8040  2 C 2.61
I 0.1610 0.1610 0.2988  2 Sc 2.95, 1 Nd 3.19
Br 0.1512 0.1512 0.8622  2 Sc 2.77, 1 Nd 3.00
Nd 0.0004 0.0004 0.1960  2 C 2.61
Sc 0.3868 0.3868 0.9501  1 C 2.24

Output
- Total energy: -5.153 eV/atom

Entry 3:
A plane-wave DFT calculation with PBE-GGA was carried out for a geometry-optimized ScZn2Sn structure.

Cell lengths 4.1744, 4.1744, 4.2667 Å; angles 90.00, 90.00, 90.00 degrees
With the nearest neighbours (Å) after each atom.
Fractional coordinates of all 4 atoms:
Sc 0.5000 0.5000 0.5000  4 Sn 2.95, 8 Zn 2.98
Zn 0.5000 0.0000 0.0000  4 Zn 2.95, 4 Sn 2.98, 4 Sc 2.98
Zn 0.0000 0.5000 0.0000  4 Zn 2.95, 4 Sn 2.98, 4 Sc 2.98
Sn 0.0000 0.0000 0.5000  4 Sc 2.95, 8 Zn 2.98

Output
- Total energy: -3.594 eV/atom

Entry 4:
A plane-wave DFT calculation with PBE-GGA was carried out for a geometry-optimized Pm3Fe structure.

Cell lengths 6.9813, 6.9813, 5.1805 Å; angles 90.00, 90.00, 120.00 degrees
With the nearest neighbours (Å) after each atom.
Fractional coordinates of all 8 atoms:
Pm 0.1780 0.8221 0.2500  4 Fe 3.20-3.49, 6 Pm 3.25-3.37
Fe 0.3333 0.6667 0.7500  12 Pm 3.20-3.49
Pm 0.1780 0.3559 0.2500  4 Fe 3.20-3.49, 6 Pm 3.25-3.37
Pm 0.6441 0.8221 0.2500  4 Fe 3.20-3.49, 6 Pm 3.25-3.37
Pm 0.8220 0.6441 0.7500  4 Fe 3.20-3.49, 6 Pm 3.25-3.37
Pm 0.8220 0.1780 0.7500  4 Fe 3.20-3.49, 6 Pm 3.25-3.37
Pm 0.3559 0.1780 0.7500  4 Fe 3.20-3.49, 6 Pm 3.25-3.37
Fe 0.6667 0.3333 0.2500  12 Pm 3.20-3.49

Output
- Formation energy from the elements: 0.317 eV per atom

Repeat the first record exactly.
A plane-wave DFT calculation with PBE-GGA was carried out for a geometry-optimized B2W5C structure.

Cell lengths 6.7782, 9.2664, 3.0899 Å; angles 90.00, 90.00, 90.00 degrees
With the nearest neighbours (Å) after each atom.
Fractional coordinates of all 16 atoms:
B 0.0818 0.3200 0.5000  7 W 2.34-2.46
B 0.4182 0.8200 0.5000  7 W 2.34-2.46
W 0.3513 0.2993 0.0000  1 C 2.12
W 0.3129 0.5720 0.5000  2 C 2.11
W 0.5000 0.0000 0.0000  4 B 2.34
B 0.5818 0.1800 0.5000  7 W 2.34-2.46
W 0.6871 0.4280 0.5000  2 C 2.11
W 0.8513 0.2007 0.0000  1 C 2.12
W 0.1871 0.0720 0.5000  2 C 2.11
W 0.1487 0.7993 0.0000  1 C 2.12
C 0.5000 0.5000 0.0000  6 W 2.11-2.12
B 0.9182 0.6800 0.5000  7 W 2.34-2.46
C 0.0000 0.0000 0.0000  6 W 2.11-2.12
W 0.0000 0.5000 0.0000  4 B 2.34
W 0.6487 0.7007 0.0000  1 C 2.12
W 0.8129 0.9280 0.5000  2 C 2.11

Output
- Total energy: -11.005 eV/atom

Question: What is the formula in the second record?
Answer: Nd2Sc2CI3Br2